1.
MgCd2P after structural relaxation. Source: the Alexandria database, functional PBE.

The structure in POSCAR format:
```
MgCd2P
1.0
-1.6394 -8.1070 -1.8665
6.7621 -2.4068 4.5139
1.0845 -5.4445 3.4361
Cd P Mg
4 2 2
Direct
0.0549 0.6250 0.2500
0.3750 0.3049 0.7500
0.8750 0.9451 0.7500
0.6951 0.1250 0.2500
0.7500 0.2500 0.5000
0.0000 0.0000 0.0000
0.2500 0.7500 0.5000
0.5000 0.5000 0.0000
```

Calculated total energy in eV/atom: -2.191
E_form in meV/atom: 18
Density of states at the Fermi level in states/eV/cell: 5.62
Space group: I-42d
Spin magnetization in μB/atom: 0.0000



2.
TbMg2Ru after structural relaxation. Source: the Alexandria database, functional PBE.

The structure in POSCAR format:
```
TbMg2Ru
1.0
-2.1813 -2.0927 -4.4774
-4.3886 -4.6436 4.3083
-5.9033 5.7528 0.1872
Mg Tb Ru
8 4 4
Direct
0.3982 0.1690 0.4426
0.6018 0.8310 0.9426
0.8982 0.3310 0.5574
0.3982 0.1690 0.0574
0.8982 0.3310 0.9426
0.1018 0.6690 0.4426
0.1018 0.6690 0.0574
0.6018 0.8310 0.5574
0.5934 0.5337 0.2500
0.4066 0.4663 0.7500
0.9066 0.0337 0.2500
0.0934 0.9663 0.7500
0.1053 0.3728 0.2500
0.6053 0.1272 0.7500
0.8947 0.6272 0.7500
0.3947 0.8728 0.2500
```

Calculated total energy in eV/atom: -4.474
E_form in meV/atom: -200
Density of states at the Fermi level in states/eV/cell: 8.82
Space group: Pnma
Spin magnetization in μB/atom: 0.0000



3.
TlS2BrN after structural relaxation. Source: the Alexandria database, functional PBE.

The structure in POSCAR format:
```
TlS2BrN
1.0
-4.4121 -1.6607 2.1654
0.7753 -4.7098 -2.0323
2.0639 -1.1081 3.3555
Br N S Tl
1 1 2 1
Direct
0.0000 0.0000 0.0000
0.0000 0.0000 0.5000
0.5000 0.0000 0.0000
0.0000 0.5000 0.0000
0.5000 0.5000 0.5000
```

Calculated total energy in eV/atom: -2.827
Uncorrected formation energy in eV per atom: 1.297
E above lowest polymorph in eV per atom: 0.0000
Density of states at the Fermi level in states/eV/cell: 4.78
Space group: P4/mmm
Spin magnetization in μB/atom: 0.3932



What did the third record say?
TlS2BrN after structural relaxation. Source: the Alexandria database, functional PBE.

The structure in POSCAR format:
```
TlS2BrN
1.0
-4.4121 -1.6607 2.1654
0.7753 -4.7098 -2.0323
2.0639 -1.1081 3.3555
Br N S Tl
1 1 2 1
Direct
0.0000 0.0000 0.0000
0.0000 0.0000 0.5000
0.5000 0.0000 0.0000
0.0000 0.5000 0.0000
0.5000 0.5000 0.5000
```

Calculated total energy in eV/atom: -2.827
Uncorrected formation energy in eV per atom: 1.297
E above lowest polymorph in eV per atom: 0.0000
Density of states at the Fermi level in states/eV/cell: 4.78
Space group: P4/mmm
Spin magnetization in μB/atom: 0.3932



- What is the density of states at the Fermi level in the first record?
  5.62 states/eV/cell



- Look up the density of states at the Fermi level of the first one.
  5.62 states/eV/cell



- Among the records above, which one has the highest density of states at the Fermi level?
  TbMg2Ru